This record from Alexandria describes a relaxed structure of LaEuSb. The functional is PBE.

The space group is I4mm (No. 107) and the conventional cell measures 4.257, 4.257 and 10.563 Å, with angles of 90.00, 90.00 and 90.00 degrees. The asymmetric unit holds La at (0.000, 0.000, 0.000), Eu at (0.000, 0.000, 0.300) and Sb at (0.000, 0.000, 0.647).

The energy relative to the elements, uncorrected is -0.729 eV/atom. As for the density: 7.2 g/cm³. For the volume, the calculation gives 191 Å³/cell. The calculation puts the total DFT energy (no corrections) at -7.17 eV/atom. The value obtained for the excess energy over the best structure of this formula in the dataset is 0 meV/atom.